No. 1
Density functional theory data (GGA-PBE) for crystalline AcThRh at its relaxed geometry.

Cell lengths 7.1503, 7.1120, 9.4956 Å; angles 90.00, 124.72, 90.00 degrees
Fractional coordinates of all 12 atoms:
Ac1 0.1874 0.0825 0.4099
Ac2 0.1874 0.4175 0.9099
Ac3 0.8126 0.5825 0.0901
Ac4 0.8126 0.9175 0.5901
Th1 0.3387 0.5783 0.5910
Th2 0.3387 0.9217 0.0910
Th3 0.6613 0.0783 0.9090
Th4 0.6613 0.4217 0.4090
Rh1 0.3262 0.6941 0.3123
Rh2 0.3262 0.8059 0.8123
Rh3 0.6738 0.1941 0.1877
Rh4 0.6738 0.3059 0.6877

Results
The total energy is -81.22 eV per cell. The calculation puts the energy above the lowest structure with this stoichiometry at 4 meV/atom. For the calculated volume, the calculation gives 396.9 Å³/cell. Its total magnetization is 0.0 μB per cell.

=====

No. 2
Density functional theory data (GGA-PBE) for crystalline YSb2RhI at its relaxed geometry.

Cell lengths 5.1565, 5.1565, 5.4527 Å; angles 90.00, 90.00, 90.00 degrees
Fractional coordinates of all 5 atoms:
Y1 0.0000 0.0000 0.0000
Sb1 0.0000 0.5000 0.5000
Sb2 0.5000 0.0000 0.5000
Rh1 0.5000 0.5000 0.5000
I1 0.5000 0.5000 0.0000

Results
The uncorrected formation energy comes out at -25.7 meV per atom. The total energy is -23.74 eV per cell. The calculation puts the energy above the lowest structure with this stoichiometry at 0 meV/atom. For the calculated volume, the calculation gives 145.0 Å³/cell. Its total magnetization is 0.0 μB per cell.

=====

No. 3
Density functional theory data (GGA-PBE) for crystalline Li2ErInO4 at its relaxed geometry.

Cell lengths 5.3951, 3.3023, 5.5836 Å; angles 90.00, 109.15, 90.00 degrees
Fractional coordinates of all 8 atoms:
Li1 0.0000 0.0000 0.0000
Li2 0.0000 0.5000 0.5000
Er1 0.5000 0.0000 0.5000
In1 0.5000 0.5000 0.0000
O1 0.2596 0.0000 0.7647
O2 0.2613 0.5000 0.2602
O3 0.7387 0.5000 0.7398
O4 0.7404 0.0000 0.2353

Results
The uncorrected formation energy comes out at -2282.5 meV per atom. The total energy is -49.22 eV per cell. For the calculated volume, the calculation gives 94.0 Å³/cell. Its total magnetization is 0.0 μB per cell.

=====

Which value of calculated volume does entry 3 give? 94.0 Å³/cell